A relaxed structure of Be2TePb, computed with PBE-GGA.

Lattice parameters (Å, degrees): 3.584 3.582 7.671 89.93 90.00 90.00
Sites, in units of the cell vectors:
Be1 0.500 0.375 0.107
Be2 0.000 0.875 0.107
Pb1 0.000 0.374 0.391
Te1 0.500 0.876 0.895

Values from the calculation:
Total moment: 0.00 μB/f.u.
Theoretical density: 5.95 g/cm³
Space-group type: No. 6
Formation energy from raw total energies: 0.163 eV/atom
Polymorph energy (0 for the lowest one): 0.658 kcal/mol of atoms